(1)
Entry from the Alexandria database: crystalline Ca2YHg at its relaxed geometry (PBE).

The structure in extended XYZ format:
```
4
Lattice="6.4851 -1.9537 0.0000 6.4851 1.9537 0.0000 -2.3548 0.0000 5.0110" Properties=species:S:1:pos:R:3 pbc="T T T"
Ca 2.2144 0.0000 1.0461
Ca 8.4011 0.0000 3.9649
Y -1.1774 0.0000 2.5055
Hg 6.4851 0.0000 0.0000
```

Computed properties:
DFT formation energy: -179 meV per atom
density of states at the Fermi level: 4.26 states/eV/f.u.
density: 4.8 g/cm³


(2)
Entry from the Alexandria database: crystalline La4Ge6O19 at its relaxed geometry (PBE).

The structure in extended XYZ format:
```
29
Lattice="-4.4538 4.4538 4.4538 4.4538 -4.4538 4.4538 4.4538 4.4538 -4.4538" Properties=species:S:1:pos:R:3 pbc="T T T"
La 3.0151 3.0151 -3.0151
La 3.0151 -3.0151 3.0151
La 1.4387 1.4387 1.4387
La -3.0151 3.0151 3.0151
Ge 4.4538 0.0000 1.4348
Ge 4.4538 3.0190 0.0000
Ge 1.4348 4.4538 0.0000
Ge 3.0190 0.0000 4.4538
Ge 0.0000 1.4348 4.4538
Ge 0.0000 4.4538 3.0190
O 0.0000 0.0000 0.0000
O 3.1438 0.0000 0.0000
O 5.7638 0.0000 0.0000
O 4.7595 1.8778 -1.4793
O 2.9745 -0.3056 2.5760
O 2.5760 2.9745 -0.3056
O 5.9331 0.3056 2.5760
O 0.0000 3.1438 0.0000
O 0.0000 0.0000 3.1438
O 1.8778 -1.4793 4.7595
O 4.1482 1.8778 1.4793
O -0.3056 2.5760 2.9745
O 1.8778 1.4793 4.1482
O 0.0000 5.7638 0.0000
O 0.0000 0.0000 5.7638
O 1.4793 4.1482 1.8778
O 2.5760 5.9331 0.3056
O -1.4793 4.7595 1.8778
O 0.3056 2.5760 5.9331
```

Computed properties:
ΔE_f (raw): -64.71 eV per formula unit
density of states at the Fermi level: 20.03 states/eV/f.u.
density: 6.1 g/cm³


(3)
Entry from the Alexandria database: crystalline Ca3Cd3GeO8 at its relaxed geometry (PBE).

The structure in extended XYZ format:
```
15
Lattice="3.3668 1.9438 5.3647 -3.3668 1.9438 5.3647 0.0000 -3.8877 5.3647" Properties=species:S:1:pos:R:3 pbc="T T T"
Ca -1.6834 -0.9719 5.3647
Ca -1.6834 0.9719 10.7294
Ca 0.0000 1.9438 5.3647
Cd -3.3668 0.0000 8.0470
Cd -1.6834 0.9719 2.6823
Cd 1.6834 0.9719 2.6823
Ge 0.0000 0.0000 0.0000
O -1.9558 -1.1292 9.6041
O 0.0000 -2.2584 6.4899
O -1.9558 1.1292 6.4899
O 0.0000 0.0000 4.0717
O 0.0000 0.0000 12.0224
O 1.9558 -1.1292 9.6041
O 0.0000 2.2584 9.6041
O 1.9558 1.1292 6.4899
```

Computed properties:
ΔE_f (raw): -29.36 eV per formula unit
density of states at the Fermi level: 0.00 states/eV/f.u.
density: 5.2 g/cm³